# Ba2NaMnO6

Crystalline Ba2NaMnO6 at its relaxed geometry (PBE with a Hubbard U, the Alexandria database).

## Properties
N(E_F), states/eV/f.u.: 8.89
Total energy, eV/cell: -58.78
Total magnetic moment, μB/f.u.: 0.0

Cell: 5.9194 5.9194 5.9194 Å, 60.00 60.00 60.00°
Closest atoms and distances in Å follow each position.
Atoms (fractional coordinates):
Ba: 0.2500 0.2500 0.2500  12 O 2.97
Ba: 0.7500 0.7500 0.7500  12 O 2.97
Na: 0.0000 0.0000 0.0000  6 O 2.29
Mn: 0.5000 0.5000 0.5000  6 O 1.90
O: 0.2731 0.2731 0.7269  1 Mn 1.90
O: 0.2731 0.7269 0.2731  1 Mn 1.90
O: 0.2731 0.7269 0.7269  1 Mn 1.90
O: 0.7269 0.2731 0.2731  1 Mn 1.90
O: 0.7269 0.2731 0.7269  1 Mn 1.90
O: 0.7269 0.7269 0.2731  1 Mn 1.90